A plane-wave DFT calculation with PBE was carried out for a geometry-optimized MgSn5Pd4 structure.

Cell lengths 13.751, 4.558, 6.712 Å; angles 90.00, 91.86, 90.00 degrees
Space group C2/m (No. 12)
Symmetry-distinct sites (fractional):
Mg  0.000  0.000  0.000 [2 per cell]
Sn  0.000  0.000  0.500 [2 per cell]
Sn  0.167  0.500  0.012 [4 per cell]
Sn  0.169  0.500  0.489 [4 per cell]
Pd  0.001  0.500  0.762 [4 per cell]
Pd  0.161  0.000  0.758 [4 per cell]

total magnetization: 0.00 μB per formula unit
DFT total energy: -46.94 eV/f.u.

A plane-wave DFT calculation with PBE was carried out for a geometry-optimized LiYHoOs structure.

Cell lengths 6.920, 6.920, 6.920 Å; angles 90.00, 90.00, 90.00 degrees
Space group F-43m (No. 216)
Symmetry-distinct sites (fractional):
Li  0.000  0.000  0.000 [4 per cell]
Y  0.250  0.250  0.750 [4 per cell]
Ho  0.250  0.250  0.250 [4 per cell]
Os  0.000  0.000  0.500 [4 per cell]

total magnetization: 0.00 μB per formula unit
DFT total energy: -25.11 eV/f.u.

A plane-wave DFT calculation with PBE was carried out for a geometry-optimized TbThMgTc structure.

Cell lengths 7.265, 7.265, 7.265 Å; angles 90.00, 90.00, 90.00 degrees
Space group F-43m (No. 216)
Symmetry-distinct sites (fractional):
Tb  0.000  0.000  0.000 [4 per cell]
Th  0.000  0.000  0.500 [4 per cell]
Mg  0.250  0.250  0.750 [4 per cell]
Tc  0.250  0.250  0.250 [4 per cell]

total magnetization: 0.00 μB per formula unit
DFT total energy: -23.92 eV/f.u.

> Which of these has the lowest DFT total energy?

MgSn5Pd4